Entry 1:
Below is a geometry-optimized Nb2Ni15Pt2 structure, with properties calculated at the GGA-PBE level.

Cell and atoms, written as CIF:
```
data_Nb2Ni15Pt2
_chemical_formula_sum 'Nb2 Ni15 Pt2'
_symmetry_space_group_name_H-M 'P 1'
_symmetry_Int_Tables_number 1
_cell_length_a 6.206
_cell_length_b 6.206
_cell_length_c 6.206
_cell_angle_alpha 83.01
_cell_angle_beta 83.01
_cell_angle_gamma 83.01
loop_
_symmetry_equiv_pos_as_xyz
'x,y,z'
loop_
_atom_site_label
_atom_site_fract_x
_atom_site_fract_y
_atom_site_fract_z
Nb1 0.653 0.653 0.653
Nb2 0.347 0.347 0.347
Ni1 0.000 0.500 0.000
Ni2 0.000 0.000 0.500
Ni3 0.500 0.000 0.000
Ni4 0.312 0.000 0.688
Ni5 0.688 0.312 0.000
Ni6 0.000 0.688 0.312
Ni7 0.312 0.688 0.000
Ni8 0.000 0.312 0.688
Ni9 0.688 0.000 0.312
Ni10 0.352 0.832 0.352
Ni11 0.352 0.352 0.832
Ni12 0.832 0.352 0.352
Ni13 0.648 0.168 0.648
Ni14 0.648 0.648 0.168
Ni15 0.168 0.648 0.648
Pt1 0.889 0.889 0.889
Pt2 0.111 0.111 0.111
```

- energy above the most stable polymorph in this dataset (meV/atom) = 0.0
- SG = R-3m

---

Entry 2:
Below is a geometry-optimized Nb2Ni2Pt structure, with properties calculated at the GGA-PBE level.

Cell and atoms, written as CIF:
```
data_Nb2Ni2Pt
_chemical_formula_sum 'Nb4 Ni4 Pt2'
_symmetry_space_group_name_H-M 'P 1'
_symmetry_Int_Tables_number 1
_cell_length_a 6.677
_cell_length_b 6.677
_cell_length_c 3.311
_cell_angle_alpha 90.00
_cell_angle_beta 90.00
_cell_angle_gamma 90.00
loop_
_symmetry_equiv_pos_as_xyz
'x,y,z'
loop_
_atom_site_label
_atom_site_fract_x
_atom_site_fract_y
_atom_site_fract_z
Ni1 0.374 0.874 0.000
Ni2 0.874 0.626 0.000
Ni3 0.626 0.126 0.000
Ni4 0.126 0.374 0.000
Nb1 0.175 0.675 0.500
Nb2 0.675 0.825 0.500
Nb3 0.825 0.325 0.500
Nb4 0.325 0.175 0.500
Pt1 0.000 0.000 0.000
Pt2 0.500 0.500 0.000
```

- energy above the most stable polymorph in this dataset (meV/atom) = 0.0
- SG = P4/mbm

---

Entry 3:
Below is a geometry-optimized Nb2NiPt3 structure, with properties calculated at the GGA-PBE level.

Cell and atoms, written as CIF:
```
data_Nb2NiPt3
_chemical_formula_sum 'Nb4 Ni2 Pt6'
_symmetry_space_group_name_H-M 'P 1'
_symmetry_Int_Tables_number 1
_cell_length_a 5.286
_cell_length_b 5.286
_cell_length_c 6.989
_cell_angle_alpha 81.51
_cell_angle_beta 81.51
_cell_angle_gamma 98.62
loop_
_symmetry_equiv_pos_as_xyz
'x,y,z'
loop_
_atom_site_label
_atom_site_fract_x
_atom_site_fract_y
_atom_site_fract_z
Nb1 0.135 0.605 0.128
Nb2 0.395 0.865 0.372
Nb3 0.865 0.395 0.872
Nb4 0.605 0.135 0.628
Ni1 0.888 0.112 0.250
Ni2 0.112 0.888 0.750
Pt1 0.867 0.701 0.485
Pt2 0.299 0.133 0.015
Pt3 0.133 0.299 0.515
Pt4 0.701 0.867 0.985
Pt5 0.577 0.423 0.250
Pt6 0.423 0.577 0.750
```

- energy above the most stable polymorph in this dataset (meV/atom) = 0.0
- SG = C2/c

---

Entry 4:
Below is a geometry-optimized NbNiPt6 structure, with properties calculated at the GGA-PBE level.

Cell and atoms, written as CIF:
```
data_NbNiPt6
_chemical_formula_sum 'Nb1 Ni1 Pt6'
_symmetry_space_group_name_H-M 'P 1'
_symmetry_Int_Tables_number 1
_cell_length_a 4.822
_cell_length_b 4.822
_cell_length_c 6.265
_cell_angle_alpha 104.92
_cell_angle_beta 104.92
_cell_angle_gamma 109.32
loop_
_symmetry_equiv_pos_as_xyz
'x,y,z'
loop_
_atom_site_label
_atom_site_fract_x
_atom_site_fract_y
_atom_site_fract_z
Nb1 0.500 0.500 0.000
Ni1 0.000 0.000 0.000
Pt1 0.622 0.122 0.243
Pt2 0.878 0.378 0.757
Pt3 0.248 0.248 0.497
Pt4 0.122 0.622 0.243
Pt5 0.378 0.878 0.757
Pt6 0.752 0.752 0.503
```

- energy above the most stable polymorph in this dataset (meV/atom) = 0.0
- SG = Fmmm

---

Entry 5:
Below is a geometry-optimized NbNiPtRh2 structure, with properties calculated at the GGA-PBE level.

Cell and atoms, written as CIF:
```
data_NbNiPtRh2
_chemical_formula_sum 'Nb2 Ni2 Pt2 Rh4'
_symmetry_space_group_name_H-M 'P 1'
_symmetry_Int_Tables_number 1
_cell_length_a 4.264
_cell_length_b 5.341
_cell_length_c 7.242
_cell_angle_alpha 100.65
_cell_angle_beta 90.00
_cell_angle_gamma 90.00
loop_
_symmetry_equiv_pos_as_xyz
'x,y,z'
loop_
_atom_site_label
_atom_site_fract_x
_atom_site_fract_y
_atom_site_fract_z
Nb1 0.750 0.677 0.271
Nb2 0.250 0.323 0.729
Ni1 0.750 0.369 0.957
Ni2 0.250 0.631 0.043
Pt1 0.750 0.037 0.622
Pt2 0.250 0.963 0.378
Rh1 0.250 0.135 0.052
Rh2 0.250 0.444 0.376
Rh3 0.750 0.556 0.624
Rh4 0.750 0.865 0.948
```

- SG = P2_1/m

---

Entry 6:
Below is a geometry-optimized NbNiPtRh structure, with properties calculated at the GGA-PBE level.

Cell and atoms, written as CIF:
```
data_NbNiPtRh
_chemical_formula_sum 'Nb1 Ni1 Pt1 Rh1'
_symmetry_space_group_name_H-M 'P 1'
_symmetry_Int_Tables_number 1
_cell_length_a 3.903
_cell_length_b 3.903
_cell_length_c 4.730
_cell_angle_alpha 114.37
_cell_angle_beta 114.36
_cell_angle_gamma 90.00
loop_
_symmetry_equiv_pos_as_xyz
'x,y,z'
loop_
_atom_site_label
_atom_site_fract_x
_atom_site_fract_y
_atom_site_fract_z
Nb1 0.750 0.250 0.500
Ni1 0.250 0.750 0.500
Pt1 0.000 0.000 0.000
Rh1 0.500 0.500 0.000
```

- SG = I-4m2

---

Entry 7:
Below is a geometry-optimized Nb2NiPt5Rh structure, with properties calculated at the GGA-PBE level.

Cell and atoms, written as CIF:
```
data_Nb2NiPt5Rh
_chemical_formula_sum 'Nb4 Ni2 Pt10 Rh2'
_symmetry_space_group_name_H-M 'P 1'
_symmetry_Int_Tables_number 1
_cell_length_a 7.717
_cell_length_b 7.717
_cell_length_c 7.598
_cell_angle_alpha 120.52
_cell_angle_beta 120.52
_cell_angle_gamma 90.00
loop_
_symmetry_equiv_pos_as_xyz
'x,y,z'
loop_
_atom_site_label
_atom_site_fract_x
_atom_site_fract_y
_atom_site_fract_z
Nb1 0.112 0.388 0.000
Nb2 0.612 0.112 0.000
Nb3 0.388 0.888 0.000
Nb4 0.888 0.612 0.000
Ni1 0.250 0.250 0.500
Ni2 0.750 0.750 0.500
Pt1 0.931 0.431 0.266
Pt2 0.665 0.165 0.734
Pt3 0.069 0.569 0.734
Pt4 0.165 0.069 0.734
Pt5 0.569 0.665 0.734
Pt6 0.835 0.931 0.266
Pt7 0.431 0.335 0.266
Pt8 0.335 0.835 0.266
Pt9 0.500 0.500 0.000
Pt10 0.000 0.000 0.000
Rh1 0.250 0.750 0.500
Rh2 0.750 0.250 0.500
```

- SG = I4/mcm

---

Entry 8:
Below is a geometry-optimized NbNi2Pt2Rh2 structure, with properties calculated at the GGA-PBE level.

Cell and atoms, written as CIF:
```
data_NbNi2Pt2Rh2
_chemical_formula_sum 'Nb1 Ni2 Pt2 Rh2'
_symmetry_space_group_name_H-M 'P 1'
_symmetry_Int_Tables_number 1
_cell_length_a 2.719
_cell_length_b 12.331
_cell_length_c 6.935
_cell_angle_alpha 153.19
_cell_angle_beta 90.00
_cell_angle_gamma 96.33
loop_
_symmetry_equiv_pos_as_xyz
'x,y,z'
loop_
_atom_site_label
_atom_site_fract_x
_atom_site_fract_y
_atom_site_fract_z
Nb1 0.000 0.000 0.500
Ni1 0.700 0.401 0.039
Ni2 0.300 0.599 0.961
Pt1 0.917 0.835 0.598
Pt2 0.083 0.165 0.402
Rh1 0.647 0.294 0.237
Rh2 0.353 0.706 0.763
```

- SG = C2/m

---

| no. | DFT total energy (eV per atom) | energy relative to the elements (eV/atom) |
| --- | --- | --- |
| 1 | -6.31 | -0.045 |
| 2 | -7.92 | -0.371 |
| 3 | -7.83 | -0.488 |
| 4 | -6.86 | -0.352 |
| 5 | -7.40 | -0.079 |
| 6 | -7.82 | -0.510 |
| 7 | -6.84 | 0.217 |
| 8 | -7.04 | -0.126 |